# 1
DFT (meta-GGA SCAN) results for a PBEsol-optimized structure of BaYCu2.

```
data_BaYCu2
_cell_length_a 3.436
_cell_length_b 3.436
_cell_length_c 8.200
_cell_angle_alpha 90.00
_cell_angle_beta 90.00
_cell_angle_gamma 90.00
_symmetry_space_group_name_H-M 'P 1'
_symmetry_Int_Tables_number 1
_symmetry_space_group_name_Hall 'P 1'
loop_
_atom_site_label
_atom_site_fract_x
_atom_site_fract_y
_atom_site_fract_z
_atom_site_occupancy
Cu1 0.000 0.000 0.080 1
Cu2 0.500 0.500 0.202 1
Ba1 0.500 0.500 0.814 1
Y1 0.000 0.000 0.405 1
```

Output
The energy relative to the elements comes out at 0.12 eV/atom. For the density of states at the Fermi level, the calculation gives 0.478 states/eV/atom. Its magnetization is 0.00 μB per atom. The value obtained for the total energy is -24.3298 eV per atom. The value obtained for the calculated volume is 24.20 A^3/atom.



# 2
DFT (meta-GGA SCAN) results for a PBEsol-optimized structure of BaZn2Cu2.

```
data_BaZn2Cu2
_cell_length_a 4.518
_cell_length_b 4.518
_cell_length_c 5.778
_cell_angle_alpha 113.02
_cell_angle_beta 113.02
_cell_angle_gamma 90.00
_symmetry_space_group_name_H-M 'P 1'
_symmetry_Int_Tables_number 1
_symmetry_space_group_name_Hall 'P 1'
loop_
_atom_site_label
_atom_site_fract_x
_atom_site_fract_y
_atom_site_fract_z
_atom_site_occupancy
Zn1 0.641 0.641 0.281 1
Zn2 0.359 0.359 0.719 1
Ba1 0.000 0.000 0.000 1
Cu1 0.750 0.250 0.500 1
Cu2 0.250 0.750 0.500 1
```

Output
The energy relative to the elements comes out at -0.07 eV/atom. For the density of states at the Fermi level, the calculation gives 0.399 states/eV/atom. Its magnetization is 0.00 μB per atom. The value obtained for the total energy is -19.4665 eV per atom. The value obtained for the calculated volume is 19.66 A^3/atom.



# 3
DFT (meta-GGA SCAN) results for a PBEsol-optimized structure of BaZnCu.

```
data_BaZnCu
_cell_length_a 4.899
_cell_length_b 4.899
_cell_length_c 4.899
_cell_angle_alpha 60.00
_cell_angle_beta 60.00
_cell_angle_gamma 60.00
_symmetry_space_group_name_H-M 'P 1'
_symmetry_Int_Tables_number 1
_symmetry_space_group_name_Hall 'P 1'
loop_
_atom_site_label
_atom_site_fract_x
_atom_site_fract_y
_atom_site_fract_z
_atom_site_occupancy
Zn1 0.000 0.000 0.000 1
Ba1 0.500 0.500 0.500 1
Cu1 0.250 0.250 0.250 1
```

Output
The energy relative to the elements comes out at 0.18 eV/atom. For the density of states at the Fermi level, the calculation gives 0.713 states/eV/atom. Its magnetization is 0.00 μB per atom. The value obtained for the total energy is -22.5717 eV per atom. The value obtained for the calculated volume is 27.72 A^3/atom.



# 4
DFT (meta-GGA SCAN) results for a PBEsol-optimized structure of BaZnCu.

```
data_BaZnCu
_cell_length_a 4.420
_cell_length_b 4.420
_cell_length_c 4.469
_cell_angle_alpha 90.00
_cell_angle_beta 90.00
_cell_angle_gamma 120.00
_symmetry_space_group_name_H-M 'P 1'
_symmetry_Int_Tables_number 1
_symmetry_space_group_name_Hall 'P 1'
loop_
_atom_site_label
_atom_site_fract_x
_atom_site_fract_y
_atom_site_fract_z
_atom_site_occupancy
Ba1 0.000 0.000 0.000 1
Zn1 0.667 0.333 0.500 1
Cu1 0.333 0.667 0.500 1
```

Output
The energy relative to the elements comes out at -0.09 eV/atom. For the density of states at the Fermi level, the calculation gives 0.652 states/eV/atom. Its magnetization is 0.00 μB per atom. The value obtained for the total energy is -22.8430 eV per atom. The value obtained for the calculated volume is 25.21 A^3/atom.